Ce2Th9Zr after structural relaxation. Source: the Alexandria database, functional PBE.

a = 4.963 Å, b = 4.963 Å, c = 14.871 Å
α = 90.00°, β = 90.00°, γ = 90.00°
Fractional coordinates of all 12 atoms:
Ce 0.000 0.000 0.170
Ce 0.000 0.000 0.830
Th 0.000 0.500 0.000
Th 0.000 0.500 0.335
Th 0.000 0.500 0.665
Th 0.500 0.000 0.000
Th 0.500 0.000 0.335
Th 0.500 0.000 0.665
Th 0.500 0.500 0.165
Th 0.500 0.500 0.500
Th 0.500 0.500 0.835
Zr 0.000 0.000 0.500

- DFT formation energy: 0.0427 eV/atom
- Space-group type: No. 123



CeThZr2 after structural relaxation. Source: the Alexandria database, functional PBE.

a = 5.323 Å, b = 5.323 Å, c = 5.323 Å
α = 60.00°, β = 60.00°, γ = 60.00°
Fractional coordinates of all 4 atoms:
Ce 0.000 0.000 0.000
Th 0.500 0.500 0.500
Zr 0.250 0.250 0.250
Zr 0.750 0.750 0.750

- DFT formation energy: 0.2048 eV/atom
- Space-group type: No. 225